AsHWSe2: optimized geometry, PBE-GGA.

Geometry as POSCAR:
```
AsHWSe2
1.0
4.9270 0.0000 0.0000
0.0000 4.9270 0.0000
0.0000 0.0000 4.9467
H Se As W
1 2 1 1
Cartesian
2.4635 2.4635 2.4734
0.0000 2.4635 0.0000
2.4635 0.0000 0.0000
0.0000 0.0000 2.4734
0.0000 0.0000 0.0000
```

## Properties
- V: 24.0 Å³/atom
- Crystal system: tetragonal
- Energy: -4.8608 eV/atom
- E above lowest polymorph: 0 meV/atom